Run a
Density functional theory data (PBE-GGA) for a geometry-optimized Ce2HgSb structure.

a b c (Å): 5.4227 5.4227 5.4227
angles (deg): 60.00 60.00 60.00
Sites, in units of the cell vectors:
Ce 0.2500 0.2500 0.2500
Ce 0.7500 0.7500 0.7500
Hg 0.0000 0.0000 0.0000
Sb 0.5000 0.5000 0.5000

***

Run b
Density functional theory data (PBE-GGA) for a geometry-optimized Ce2HgSb structure.

a b c (Å): 5.1596 5.1596 4.2164
angles (deg): 90.00 90.00 90.00
Sites, in units of the cell vectors:
Ce 0.0000 0.5000 0.0000
Ce 0.5000 0.0000 0.0000
Hg 0.0000 0.0000 0.5000
Sb 0.5000 0.5000 0.5000

***

Run c
Density functional theory data (PBE-GGA) for a geometry-optimized Ce2HgSb structure.

a b c (Å): 8.2905 8.2905 8.2905
angles (deg): 30.31 30.31 30.31
Sites, in units of the cell vectors:
Ce 0.2468 0.2468 0.2468
Ce 0.7532 0.7532 0.7532
Hg 0.0000 0.0000 0.0000
Sb 0.5000 0.5000 0.5000

***

Name the most stable of them. run b.